Computed, not measured: an optimized crystal structure of TmCuHg2 at the PBE level of DFT.

POSCAR file:
```
TmCuHg2
1.0
-2.0468 1.8793 3.4474
3.3465 -1.1657 2.6224
2.0206 3.8177 -0.8815
Tm Hg Cu
1 2 1
Cartesian
-1.0234 0.9397 1.7237 Tm
1.0103 1.9088 -0.4407 Hg
1.6732 -0.5829 1.3112 Hg
1.6601 2.2656 2.5941 Cu
```

* calculated density: 12.2 g/cm³
* M_tot: 0.00 μB per formula unit
* D(E_F): 2.858 states/eV/cell
* energy of formation: -142 meV per atom
* E_tot: -9.74 eV/cell

Computed, not measured: an optimized crystal structure of Sc4PBr at the PBE level of DFT.

POSCAR file:
```
Sc4PBr
1.0
0.0000 4.0943 4.0943
4.0943 0.0000 4.0943
4.0943 4.0943 0.0000
Sc P Br
4 1 1
Cartesian
3.0600 5.1286 5.1286 Sc
5.1286 5.1286 3.0600 Sc
5.1286 3.0600 5.1286 Sc
3.0600 3.0600 3.0600 Sc
0.0000 0.0000 0.0000 P
6.1415 6.1415 6.1415 Br
```

* calculated density: 3.5 g/cm³
* M_tot: 0.00 μB per formula unit
* uncorrected formation energy: 199 meV/atom
* D(E_F): 6.943 states/eV/cell
* E_tot: -31.21 eV/cell

Computed, not measured: an optimized crystal structure of Pr4NdTm at the PBE level of DFT.

POSCAR file:
```
Pr4NdTm
1.0
1.2196 -3.2905 7.4376
4.0710 -5.9349 3.9795
3.9664 3.2460 0.7885
Pr Nd Tm
4 1 1
Cartesian
1.7705 -3.0872 3.8206 Pr
7.4866 -2.8922 8.3849 Pr
6.4036 -6.0850 9.9333 Pr
2.8534 0.1056 2.2722 Pr
4.6285 -2.9897 6.1027 Nd
0.0000 0.0000 0.0000 Tm
```

* calculated density: 6.9 g/cm³
* M_tot: 0.00 μB per formula unit
* D(E_F): 9.294 states/eV/cell
* energy of formation: 17 meV per atom
* E_tot: -28.25 eV/cell
* ΔE to the lowest computed polymorph: 0.000 eV per atom

Computed, not measured: an optimized crystal structure of Pm3SnSb at the PBE level of DFT.

POSCAR file:
```
Pm3SnSb
1.0
7.4347 0.0000 0.0000
3.7174 6.4387 0.0000
3.7174 2.1462 7.8087
Pm Sn Sb
6 2 2
Cartesian
6.6822 6.4482 2.1266 Pm
9.6780 3.8663 2.1266 Pm
5.9441 2.5628 2.1266 Pm
9.6780 4.7186 5.6821 Pm
5.9441 6.0221 5.6821 Pm
6.6822 2.1367 5.6821 Pm
3.7174 2.1462 0.0029 Sn
11.1521 6.4387 7.8058 Sn
3.7174 2.1462 4.5421 Sb
11.1521 6.4387 3.2666 Sb
```

* calculated density: 6.0 g/cm³
* M_tot: 0.00 μB per formula unit
* uncorrected formation energy: -432 meV/atom
* D(E_F): 7.522 states/eV/cell
* E_tot: -49.07 eV/cell

Computed, not measured: an optimized crystal structure of Pm3SmTc at the PBE level of DFT.

POSCAR file:
```
Pm3SmTc
1.0
-2.4065 2.9966 1.0909
-5.0777 0.0622 -4.0569
-8.0029 -6.3406 7.0780
Pm Sm Tc
6 2 2
Cartesian
-7.0920 0.4703 -2.3061 Pm
-11.5568 -2.4939 3.3023 Pm
-6.1577 -3.6494 3.7561 Pm
-10.2371 -2.7528 6.9248 Pm
-5.2082 -0.0990 3.4137 Pm
-8.3733 -1.9830 1.6065 Pm
-5.0125 -1.4277 0.1795 Sm
-3.3254 0.6698 -1.8604 Sm
-4.4867 1.4369 0.7862 Tc
-9.0964 -3.5331 4.2692 Tc
```

* calculated density: 7.5 g/cm³
* M_tot: 0.00 μB per formula unit
* D(E_F): 9.458 states/eV/cell
* energy of formation: 18 meV per atom
* E_tot: -58.50 eV/cell
* ΔE to the lowest computed polymorph: 0.000 eV per atom

Computed, not measured: an optimized crystal structure of LiAg2Os at the PBE level of DFT.

POSCAR file:
```
LiAg2Os
1.0
-1.7353 2.0838 -0.1930
-0.7980 -2.1376 1.4781
3.9004 3.9757 7.8552
Ag Li Os
2 1 1
Cartesian
3.8799 3.9548 7.8139 Ag
-0.2476 1.0119 2.6950 Ag
1.9809 2.0192 3.9895 Li
1.6043 2.8996 6.4246 Os
```

* calculated density: 10.8 g/cm³
* M_tot: 0.00 μB per formula unit
* D(E_F): 2.613 states/eV/cell
* energy of formation: 279 meV per atom
* E_tot: -17.73 eV/cell
* ΔE to the lowest computed polymorph: 0.000 eV per atom

Computed, not measured: an optimized crystal structure of Ac8La3Nd3 at the PBE level of DFT.

POSCAR file:
```
Ac8La3Nd3
1.0
-4.6091 -2.2104 -3.9172
2.8058 -9.3237 -1.1643
-6.7713 -2.8935 6.4759
Ac La Nd
8 3 3
Cartesian
-6.4851 -4.0814 1.7760 Ac
-2.0895 -10.3462 -0.3817 Ac
-1.5392 -7.4022 -2.1696 Ac
-7.0354 -7.0254 3.5640 Ac
-5.6724 -10.8674 -1.2259 Ac
-2.9023 -3.5603 2.6202 Ac
-8.1658 -9.1932 0.7633 Ac
-0.4088 -5.2344 0.6311 Ac
-4.2873 -7.2138 0.6972 La
-3.9021 -4.2463 -1.3175 La
-4.6725 -10.1813 2.7118 La
-2.3046 -1.1052 -1.9586 Nd
1.5158 -8.4576 -0.1352 Nd
-5.4813 -3.7596 5.4468 Nd
```

* calculated density: 7.4 g/cm³
* M_tot: 0.00 μB per formula unit
* D(E_F): 22.177 states/eV/cell
* energy of formation: 185 meV per atom
* E_tot: -59.37 eV/cell

Computed, not measured: an optimized crystal structure of TlRe2 at the PBE level of DFT.

POSCAR file:
```
TlRe2
1.0
-4.9276 -4.0796 0.5808
-3.0108 -4.7285 -3.1365
5.2505 2.9857 2.1862
Re Tl
2 1
Cartesian
-2.4632 -2.7330 -0.7930 Re
-5.4752 -6.0750 -1.7627 Re
0.0000 0.0000 0.0000 Tl
```

* calculated density: 17.6 g/cm³
* M_tot: 0.00 μB per formula unit
* D(E_F): 2.434 states/eV/cell
* energy of formation: 583 meV per atom
* E_tot: -25.51 eV/cell
* ΔE to the lowest computed polymorph: 0.042 eV per atom